Entry 1:
A crystal of MgCd2Ir relaxed with PBEsol, computed with SCAN.

Computed properties:
Theoretical density = 10.519 g/cm3
ΔE_f = 0.028 eV per atom
Crystal system = orthorhombic

a = 5.855 Å, b = 7.535 Å, c = 3.158 Å
α = 90.00°, β = 90.00°, γ = 90.00°
Fractional positions:
Mg 0.000 0.000 0.000
Mg 0.500 0.500 0.000
Cd 0.250 0.250 0.500
Cd 0.250 0.750 0.500
Cd 0.750 0.250 0.500
Cd 0.750 0.750 0.500
Ir 0.000 0.500 0.000
Ir 0.500 0.000 0.000



Entry 2:
A crystal of MgCd2Ir relaxed with PBEsol, computed with SCAN.

Computed properties:
Theoretical density = 10.660 g/cm3
ΔE_f = -0.147 eV per atom
Crystal system = tetragonal

a = 4.021 Å, b = 4.021 Å, c = 8.502 Å
α = 90.00°, β = 90.00°, γ = 90.00°
Fractional positions:
Mg 0.000 0.000 0.000
Mg 0.500 0.500 0.500
Cd 0.000 0.500 0.250
Cd 0.000 0.500 0.750
Cd 0.500 0.000 0.250
Cd 0.500 0.000 0.750
Ir 0.000 0.000 0.500
Ir 0.500 0.500 0.000